Record 1
The following is a GGA-PBE calculation of a relaxed structure of NbAg2Pt, from Alexandria.

The structure in POSCAR format:
```
NbAg2Pt
1.0
0.000 3.241 3.241
3.241 0.000 3.241
3.241 3.241 0.000
Ag Pt Nb
2 1 1
direct
0.750 0.750 0.750
0.250 0.250 0.250
0.500 0.500 0.500
0.000 0.000 0.000
```

Computed properties:
Spin magnetization (μB/f.u.): 0.0
Energy above the lowest structure with this stoichiometry (meV per atom): 0
D(E_F) (states/eV per atom): 0.660
Calculated formation energy (meV/atom): 204


Record 2
The following is a GGA-PBE calculation of a relaxed structure of CaSm2Rh3, from Alexandria.

The structure in POSCAR format:
```
CaSm2Rh3
1.0
-0.359 -0.109 -4.895
2.206 -3.683 2.382
-10.527 -5.723 0.900
Sm Rh Ca
4 6 2
direct
0.667 0.333 0.827
0.000 0.000 0.500
0.333 0.667 0.173
0.000 0.000 0.000
0.667 0.333 0.080
0.000 0.000 0.247
0.333 0.667 0.920
0.667 0.333 0.582
0.000 0.000 0.753
0.333 0.667 0.418
0.667 0.333 0.335
0.333 0.667 0.665
```

Computed properties:
Spin magnetization (μB/f.u.): 0.0
Energy above the lowest structure with this stoichiometry (meV per atom): 0
D(E_F) (states/eV per atom): 0.199
Calculated formation energy (meV/atom): -623


Record 3
The following is a GGA-PBE calculation of a relaxed structure of La12Pr7Th, from Alexandria.

The structure in POSCAR format:
```
La12Pr7Th
1.0
8.799 1.021 1.532
-1.466 8.735 1.532
-1.466 -1.951 8.651
La Pr Th
12 7 1
direct
0.481 0.593 0.149
0.865 0.253 0.725
0.275 0.135 0.747
0.725 0.865 0.253
0.519 0.407 0.851
0.593 0.149 0.481
0.135 0.747 0.275
0.149 0.481 0.593
0.851 0.519 0.407
0.747 0.275 0.135
0.407 0.851 0.519
0.253 0.725 0.865
0.132 0.377 0.070
0.500 0.500 0.500
0.868 0.623 0.930
0.377 0.070 0.132
0.623 0.930 0.868
0.070 0.132 0.377
0.930 0.868 0.623
0.000 0.000 0.000
```

Computed properties:
Spin magnetization (μB/f.u.): 0.0
Energy above the lowest structure with this stoichiometry (meV per atom): 0
D(E_F) (states/eV per atom): 1.848
Calculated formation energy (meV/atom): 171


Record 4
The following is a GGA-PBE calculation of a relaxed structure of TaTcMo2, from Alexandria.

The structure in POSCAR format:
```
TaTcMo2
1.0
7.269 0.000 0.000
0.000 7.269 0.000
3.634 3.634 2.628
Mo Tc Ta
4 2 2
direct
0.375 0.395 0.750
0.145 0.625 0.250
0.875 0.855 0.750
0.605 0.125 0.250
0.500 0.500 0.000
0.250 0.750 0.500
0.000 0.000 0.000
0.750 0.250 0.500
```

Computed properties:
Spin magnetization (μB/f.u.): 0.0
Energy above the lowest structure with this stoichiometry (meV per atom): 829
D(E_F) (states/eV per atom): 0.941
Calculated formation energy (meV/atom): 651


Record 5
The following is a GGA-PBE calculation of a relaxed structure of Sm4AlGa2, from Alexandria.

The structure in POSCAR format:
```
Sm4AlGa2
1.0
-4.109 2.989 -0.545
-2.690 1.419 4.107
2.540 8.226 2.001
Ga Sm Al
2 4 1
direct
0.749 0.749 0.753
0.251 0.251 0.247
0.380 0.380 0.859
0.128 0.128 0.615
0.872 0.872 0.385
0.620 0.620 0.141
0.000 0.000 0.000
```

Computed properties:
Spin magnetization (μB/f.u.): 0.0
Energy above the lowest structure with this stoichiometry (meV per atom): 0
D(E_F) (states/eV per atom): 0.938
Calculated formation energy (meV/atom): -371


Record 6
The following is a GGA-PBE calculation of a relaxed structure of TbGdC2, from Alexandria.

The structure in POSCAR format:
```
TbGdC2
1.0
-0.118 -1.171 -3.435
2.212 -2.667 -1.086
-3.397 -5.289 0.001
C Tb Gd
2 1 1
direct
0.250 0.250 0.251
0.750 0.750 0.749
0.000 0.000 0.000
0.500 0.500 0.500
```

Computed properties:
Spin magnetization (μB/f.u.): 6.7
D(E_F) (states/eV per atom): 1.176
Calculated formation energy (meV/atom): 101